Computed, not measured: an optimized crystal structure of LaAl3CuAg at the GGA-PBE level of DFT.

Cell lengths 6.1591, 6.1557, 7.0541 Å; angles 115.87, 90.00, 90.00 degrees
Last column: nearest neighbours and their distance in Å.
Fractional positions:
La1 0.7500 0.2861 0.5723  1 Cu 2.77
La2 0.2500 0.7139 0.4277  1 Cu 2.77
Al1 0.2500 0.1332 0.2664  1 Cu 2.55, 1 Ag 2.74
Al2 0.0000 0.2838 0.0000  2 Cu 2.48, 1 Al 2.66
Al3 0.5000 0.7162 0.0000  2 Cu 2.48, 1 Al 2.66
Al4 0.5000 0.2838 0.0000  2 Cu 2.48, 1 Al 2.66
Al5 0.0000 0.7162 0.0000  2 Cu 2.48, 1 Al 2.66
Al6 0.7500 0.8668 0.7336  1 Cu 2.55, 1 Ag 2.74
Cu1 0.2500 0.9322 0.8644  5 Al 2.48-2.55, 1 La 2.77
Cu2 0.7500 0.0678 0.1356  5 Al 2.48-2.55, 1 La 2.77
Ag1 0.2500 0.3487 0.6974  5 Al 2.74-2.80
Ag2 0.7500 0.6513 0.3026  5 Al 2.74-2.80

Output
- ΔH_f (0 K) (meV/atom) = -183
- DOS(E_F) (states/eV per cell) = 5.89
- crystal system = orthorhombic